{
  "formula": "AgSbTe2Br",
  "functional": "GGA-PBE",
  "state": "optimized geometry",
  "cell": [[5.716, 0.000, 0.000], [0.000, 5.716, 0.000], [0.000, 0.000, 5.513]],
  "species": ["Ag", "Sb", "Te", "Te", "Br"],
  "fractional_positions": [[0.000, 0.000, 0.000], [0.500, 0.500, 0.000], [0.000, 0.500, 0.500], [0.500, 0.000, 0.500], [0.500, 0.500, 0.500]],
  "polymorph_energy_mev_per_atom": 428,
  "dos_ef_per_ev_fu": 5.9,
  "density_g_cm3": 5.21,
  "m_tot_mub_per_fu": 1.73
}

{
  "formula": "ScAgBr2",
  "functional": "GGA-PBE",
  "state": "optimized geometry",
  "cell": [[0.000, 3.604, 3.604], [3.604, 0.000, 3.604], [3.604, 3.604, 0.000]],
  "species": ["Sc", "Ag", "Br", "Br"],
  "fractional_positions": [[0.000, 0.000, 0.000], [0.750, 0.750, 0.750], [0.250, 0.250, 0.250], [0.500, 0.500, 0.500]],
  "polymorph_energy_mev_per_atom": 623,
  "density_g_cm3": 5.55,
  "m_tot_mub_per_fu": 0.00
}

{
  "formula": "ScAgBr2",
  "functional": "GGA-PBE",
  "state": "optimized geometry",
  "cell": [[1.783, 1.030, 10.105], [-1.783, 1.030, 10.105], [0.000, -2.059, 10.105]],
  "species": ["Sc", "Ag", "Br", "Br"],
  "fractional_positions": [[0.000, 0.000, 0.000], [0.500, 0.500, 0.500], [0.391, 0.391, 0.391], [0.609, 0.609, 0.609]],
  "polymorph_energy_mev_per_atom": 68,
  "dos_ef_per_ev_fu": 2.7,
  "density_g_cm3": 4.66,
  "m_tot_mub_per_fu": 0.00
}

{
  "formula": "ScAg2Br5",
  "functional": "GGA-PBE",
  "state": "optimized geometry",
  "cell": [[5.527, -4.517, 0.000], [5.527, 4.517, 0.000], [-3.689, 0.000, 5.320]],
  "species": ["Sc", "Ag", "Ag", "Br", "Br", "Br", "Br", "Br"],
  "fractional_positions": [[0.000, 0.000, 0.000], [0.018, 0.575, 0.399], [0.575, 0.018, 0.399], [0.290, 0.290, 0.223], [0.292, 0.727, 0.927], [0.721, 0.721, 0.611], [0.727, 0.292, 0.927], [0.979, 0.979, 0.374]],
  "polymorph_energy_mev_per_atom": 0,
  "dos_ef_per_ev_fu": 0.0,
  "density_g_cm3": 4.13,
  "m_tot_mub_per_fu": 0.00
}

> Which formula does entry 1 have?

AgSbTe2Br

> Number 2 is which compound?

ScAgBr2